# 1
# K2MgAg GGA-PBE optimized geometry
data_K2MgAg
_cell_length_a 4.045
_cell_length_b 6.078
_cell_length_c 12.528
_cell_angle_alpha 90.00
_cell_angle_beta 90.00
_cell_angle_gamma 90.00
_space_group_name_H-M_alt 'I m m 2'
_space_group_IT_number 44
_space_group_name_Hall 'I 2 -2'
loop_
_atom_site_label
_atom_site_fract_x
_atom_site_fract_y
_atom_site_fract_z
K1 0.000 0.000 0.000
K2 0.000 0.500 0.195
Mg1 0.000 0.500 0.799
Ag1 0.000 0.000 0.449
# Formation energy from the elements: 0.088 eV per atom
# M_tot: 0.00 μB/f.u.

---

# 2
# KMgAg3 GGA-PBE optimized geometry
data_KMgAg3
_cell_length_a 5.256
_cell_length_b 5.256
_cell_length_c 5.256
_cell_angle_alpha 90.00
_cell_angle_beta 90.00
_cell_angle_gamma 90.00
_space_group_name_H-M_alt 'P m -3 m'
_space_group_IT_number 221
_space_group_name_Hall '-P 4 2 3'
loop_
_atom_site_label
_atom_site_fract_x
_atom_site_fract_y
_atom_site_fract_z
K1 0.000 0.000 0.000
Mg1 0.500 0.500 0.500
Ag1 0.000 0.500 0.500
# Formation energy from the elements: 0.224 eV per atom
# M_tot: 0.00 μB/f.u.
# Distance to the lowest polymorph of the same formula: 0 meV per atom

---

# 3
# KMgAg GGA-PBE optimized geometry
data_KMgAg
_cell_length_a 4.889
_cell_length_b 4.889
_cell_length_c 8.022
_cell_angle_alpha 90.00
_cell_angle_beta 90.00
_cell_angle_gamma 90.00
_space_group_name_H-M_alt 'P 4/n m m'
_space_group_IT_number 129
loop_
_space_group_symop_operation_xyz
'x,y,z'
'-x,-y,-z'
'-y+1/2,x,z'
'y+1/2,-x,-z'
'-x+1/2,-y+1/2,z'
'x+1/2,y+1/2,-z'
'y,-x+1/2,z'
'-y,x+1/2,-z'
'x+1/2,-y,-z'
'-x+1/2,y,z'
'-y,-x,-z'
'y,x,z'
'-x,y+1/2,-z'
'x,-y+1/2,z'
'y+1/2,x+1/2,-z'
'-y+1/2,-x+1/2,z'
loop_
_atom_site_label
_atom_site_fract_x
_atom_site_fract_y
_atom_site_fract_z
K1 0.250 0.250 0.147
Mg1 0.250 0.750 0.500
Ag1 0.250 0.250 0.675
# Formation energy from the elements: -0.018 eV per atom
# M_tot: 0.00 μB/f.u.
# Distance to the lowest polymorph of the same formula: 0 meV per atom

---

# 4
# K2MgAg GGA-PBE optimized geometry
data_K2MgAg
_cell_length_a 5.217
_cell_length_b 4.863
_cell_length_c 6.979
_cell_angle_alpha 90.00
_cell_angle_beta 111.85
_cell_angle_gamma 90.00
_space_group_name_H-M_alt 'P 1 m 1'
_space_group_IT_number 6
_space_group_name_Hall 'P -2y'
loop_
_atom_site_label
_atom_site_fract_x
_atom_site_fract_y
_atom_site_fract_z
K1 0.000 0.000 0.000
K2 0.298 0.500 0.597
Mg1 0.696 0.000 0.393
Ag1 0.594 0.500 0.190
# Formation energy from the elements: 0.077 eV per atom
# M_tot: 0.00 μB/f.u.

---

# 5
# KMgAg GGA-PBE optimized geometry
data_KMgAg
_cell_length_a 3.707
_cell_length_b 3.707
_cell_length_c 13.139
_cell_angle_alpha 90.00
_cell_angle_beta 90.00
_cell_angle_gamma 90.00
_space_group_name_H-M_alt 'I 4 m m'
_space_group_IT_number 107
_space_group_name_Hall 'I 4 -2'
loop_
_atom_site_label
_atom_site_fract_x
_atom_site_fract_y
_atom_site_fract_z
K1 0.000 0.000 0.000
Mg1 0.000 0.000 0.725
Ag1 0.000 0.000 0.301
# Formation energy from the elements: 0.032 eV per atom
# M_tot: 0.00 μB/f.u.
# Distance to the lowest polymorph of the same formula: 49 meV per atom

---

# 6
# KMg2Ag2 GGA-PBE optimized geometry
data_KMg2Ag2
_cell_length_a 4.609
_cell_length_b 4.609
_cell_length_c 12.449
_cell_angle_alpha 90.00
_cell_angle_beta 90.00
_cell_angle_gamma 90.00
_space_group_name_H-M_alt 'I 4/m m m'
_space_group_IT_number 139
_space_group_name_Hall '-I 4 2'
loop_
_atom_site_label
_atom_site_fract_x
_atom_site_fract_y
_atom_site_fract_z
K1 0.000 0.000 0.000
Mg1 0.000 0.500 0.250
Ag1 0.000 0.000 0.385
# Formation energy from the elements: -0.027 eV per atom
# M_tot: 0.00 μB/f.u.
# Distance to the lowest polymorph of the same formula: 32 meV per atom

---

# 7
# K2Mg2Ag GGA-PBE optimized geometry
data_K2Mg2Ag
_cell_length_a 7.437
_cell_length_b 7.437
_cell_length_c 6.263
_cell_angle_alpha 90.00
_cell_angle_beta 90.00
_cell_angle_gamma 90.00
_space_group_name_H-M_alt 'P 4/m b m'
_space_group_IT_number 127
_space_group_name_Hall '-P 4 2ab'
loop_
_atom_site_label
_atom_site_fract_x
_atom_site_fract_y
_atom_site_fract_z
K1 0.182 0.318 0.000
Mg1 0.151 0.651 0.500
Ag1 0.000 0.000 0.500
# Formation energy from the elements: 0.127 eV per atom
# M_tot: 0.00 μB/f.u.
# Distance to the lowest polymorph of the same formula: 0 meV per atom

---

# 8
# K2MgAg GGA-PBE optimized geometry
data_K2MgAg
_cell_length_a 5.719
_cell_length_b 5.719
_cell_length_c 8.279
_cell_angle_alpha 90.00
_cell_angle_beta 90.00
_cell_angle_gamma 90.00
_space_group_name_H-M_alt 'I -4 m 2'
_space_group_IT_number 119
_space_group_name_Hall 'I -4 -2'
loop_
_atom_site_label
_atom_site_fract_x
_atom_site_fract_y
_atom_site_fract_z
K1 0.000 0.000 0.000
K2 0.000 0.500 0.250
Mg1 0.000 0.500 0.750
Ag1 0.000 0.000 0.500
# Formation energy from the elements: 0.184 eV per atom
# M_tot: 0.00 μB/f.u.

---

# 9
# K2MgAg GGA-PBE optimized geometry
data_K2MgAg
_cell_length_a 3.870
_cell_length_b 3.870
_cell_length_c 10.313
_cell_angle_alpha 90.00
_cell_angle_beta 90.00
_cell_angle_gamma 90.00
_space_group_name_H-M_alt 'P 4 m m'
_space_group_IT_number 99
_space_group_name_Hall 'P 4 -2'
loop_
_atom_site_label
_atom_site_fract_x
_atom_site_fract_y
_atom_site_fract_z
K1 0.000 0.000 0.000
K2 0.500 0.500 0.394
Mg1 0.000 0.000 0.666
Ag1 0.500 0.500 0.743
# Formation energy from the elements: 0.055 eV per atom
# M_tot: 0.00 μB/f.u.

---

# 10
# KMgAg GGA-PBE optimized geometry
data_KMgAg
_cell_length_a 7.856
_cell_length_b 7.856
_cell_length_c 7.856
_cell_angle_alpha 90.00
_cell_angle_beta 90.00
_cell_angle_gamma 90.00
_space_group_name_H-M_alt 'F -4 3 m'
_space_group_IT_number 216
_space_group_name_Hall 'F -4 2 3'
loop_
_atom_site_label
_atom_site_fract_x
_atom_site_fract_y
_atom_site_fract_z
K1 0.000 0.000 0.000
Mg1 0.250 0.250 0.250
Ag1 0.250 0.250 0.750
# Formation energy from the elements: 0.527 eV per atom
# M_tot: 0.00 μB/f.u.
# Distance to the lowest polymorph of the same formula: 545 meV per atom

---

# 11
# K2Mg2Ag GGA-PBE optimized geometry
data_K2Mg2Ag
_cell_length_a 4.208
_cell_length_b 4.208
_cell_length_c 21.550
_cell_angle_alpha 90.00
_cell_angle_beta 90.00
_cell_angle_gamma 90.00
_space_group_name_H-M_alt 'I 4/m m m'
_space_group_IT_number 139
_space_group_name_Hall '-I 4 2'
loop_
_atom_site_label
_atom_site_fract_x
_atom_site_fract_y
_atom_site_fract_z
K1 0.000 0.000 0.094
Mg1 0.000 0.500 0.250
Ag1 0.000 0.000 0.500
# Formation energy from the elements: 0.191 eV per atom
# M_tot: 0.00 μB/f.u.
# Distance to the lowest polymorph of the same formula: 64 meV per atom

---

# 12
# KMgAg4 GGA-PBE optimized geometry
data_KMgAg4
_cell_length_a 8.118
_cell_length_b 8.118
_cell_length_c 8.118
_cell_angle_alpha 90.00
_cell_angle_beta 90.00
_cell_angle_gamma 90.00
_space_group_name_H-M_alt 'F -4 3 m'
_space_group_IT_number 216
_space_group_name_Hall 'F -4 2 3'
loop_
_atom_site_label
_atom_site_fract_x
_atom_site_fract_y
_atom_site_fract_z
K1 0.000 0.000 0.000
Mg1 0.250 0.250 0.750
Ag1 0.124 0.124 0.376
# Formation energy from the elements: 0.013 eV per atom
# M_tot: 0.00 μB/f.u.